## Al3BiSb (GGA-PBEsol)

Data for a relaxed Al3BiSb crystal.

Lattice parameters (Å, degrees): 5.231 5.231 5.231 90.00 90.00 90.00
Sites, in units of the cell vectors:
Al 0.000 0.000 0.500
Al 0.000 0.500 0.000
Al 0.500 0.000 0.000
Bi 0.500 0.500 0.500
Sb 0.000 0.000 0.000

DFT total energy, eV/atom: -3.516
Total magnetic moment, μB/cell: 0.00
Crystal system: cubic
Space group: Pm-3m (221)
Formation energy without anion corrections, eV per atom: 0.71

## CsPdSe2 (GGA-PBEsol)

Data for a relaxed CsPdSe2 crystal.

Lattice parameters (Å, degrees): 6.754 6.754 6.754 109.06 109.06 110.30
Sites, in units of the cell vectors:
Cs 0.000 0.000 0.000
Cs 0.750 0.250 0.500
Pd 0.250 0.750 0.500
Pd 0.500 0.500 0.000
Se 0.245 0.625 0.120
Se 0.375 0.495 0.620
Se 0.505 0.125 0.880
Se 0.875 0.755 0.380

DFT total energy, eV/atom: -4.153
Total magnetic moment, μB/cell: 0.00
Crystal system: tetragonal
Space group: I-42d (122)
Formation energy without anion corrections, eV per atom: -0.50

## CoRh2 (GGA-PBEsol)

Data for a relaxed CoRh2 crystal.

Lattice parameters (Å, degrees): 5.844 5.844 3.665 90.00 90.00 143.04
Sites, in units of the cell vectors:
Co 0.170 0.830 0.000
Co 0.830 0.170 0.000
Rh 0.000 0.000 0.500
Rh 0.331 0.669 0.500
Rh 0.500 0.500 0.000
Rh 0.669 0.331 0.500

DFT total energy, eV/atom: -7.935
Total magnetic moment, μB/cell: 4.22
Crystal system: orthorhombic
Space group: Cmmm (65)
Formation enthalpy at 0 K, eV/atom: 0.07

## K2Tl2Bi (GGA-PBEsol)

Data for a relaxed K2Tl2Bi crystal.

Lattice parameters (Å, degrees): 8.162 8.162 5.487 90.00 90.00 90.00
Sites, in units of the cell vectors:
K 0.183 0.317 0.000
K 0.317 0.817 0.000
K 0.683 0.183 0.000
K 0.817 0.683 0.000
Tl 0.130 0.630 0.500
Tl 0.370 0.130 0.500
Tl 0.630 0.870 0.500
Tl 0.870 0.370 0.500
Bi 0.000 0.000 0.500
Bi 0.500 0.500 0.500

DFT total energy, eV/atom: -2.521
Total magnetic moment, μB/cell: 0.00
Crystal system: tetragonal
Space group: P4/mbm (127)
Formation enthalpy at 0 K, eV/atom: -0.16

- What is the DFT total energy in the fourth record?
  -2.521 eV/atom

- total magnetic moment of number 3 (CoRh2)?
  4.22 μB/cell

- Which of these has the highest total magnetic moment?
  CoRh2